[1]
Below is La3GaCl after structural relaxation, with properties calculated at the GGA-PBE level.

Cell: 5.5016 5.5016 5.5016 Å, 90.00 90.00 90.00°
Space group Pm-3m (No. 221)
Inequivalent atoms, fractional coordinates:
La  0.0000  0.0000  0.5000 [3 per cell]
Ga  0.5000  0.5000  0.5000 [1 per cell]
Cl  0.0000  0.0000  0.0000 [1 per cell]

- V: 33.30 Å³/atom
- Calculated total energy: -22.51 eV for the cell shown
- Excess energy over the best structure of this formula in the dataset: 0.2699 eV/atom


[2]
Below is TlZn2Au9 after structural relaxation, with properties calculated at the GGA-PBE level.

Cell: 9.1436 9.1436 3.0733 Å, 90.00 90.00 120.00°
Space group P6/mmm (No. 191)
Inequivalent atoms, fractional coordinates:
Tl  0.0000  0.0000  0.0000 [1 per cell]
Zn  0.3333  0.6667  0.0000 [2 per cell]
Au  0.0000  0.5000  0.0000 [3 per cell]
Au  0.1843  0.3687  0.5000 [6 per cell]

- Calculated formation energy: -45 meV per atom
- V: 18.54 Å³/atom
- Calculated total energy: -34.95 eV for the cell shown


[3]
Below is Ba2LaTc after structural relaxation, with properties calculated at the GGA-PBE level.

Cell: 12.3152 12.3152 5.0481 Å, 90.00 90.00 90.00°
Space group I-42d (No. 122)
Inequivalent atoms, fractional coordinates:
Ba  0.0896  0.2500  0.1250 [8 per cell]
La  0.0000  0.0000  0.5000 [4 per cell]
Tc  0.0000  0.0000  0.0000 [4 per cell]

- Calculated formation energy: 494 meV per atom
- V: 47.85 Å³/atom
- Calculated total energy: -68.65 eV for the cell shown
- Excess energy over the best structure of this formula in the dataset: 0.1551 eV/atom


[4]
Below is CrFeAg2 after structural relaxation, with properties calculated at the GGA-PBE level.

Cell: 4.0004 4.0004 8.0505 Å, 90.00 90.00 90.00°
Space group I-4m2 (No. 119)
Inequivalent atoms, fractional coordinates:
Cr  0.0000  0.0000  0.0000 [2 per cell]
Fe  0.0000  0.5000  0.7500 [2 per cell]
Ag  0.0000  0.0000  0.5000 [2 per cell]
Ag  0.0000  0.5000  0.2500 [2 per cell]

- Calculated formation energy: 604 meV per atom
- V: 16.10 Å³/atom
- Calculated total energy: -42.75 eV for the cell shown
- Excess energy over the best structure of this formula in the dataset: 0.2765 eV/atom


[5]
Below is LiFe2N after structural relaxation, with properties calculated at the GGA-PBE level.

Cell: 6.2898 6.2898 4.1389 Å, 90.00 90.00 90.00°
Space group I-42d (No. 122)
Inequivalent atoms, fractional coordinates:
Li  0.0000  0.0000  0.0000 [4 per cell]
Fe  0.1259  0.2500  0.6250 [8 per cell]
N  0.0000  0.0000  0.5000 [4 per cell]

- V: 10.23 Å³/atom
- Calculated total energy: -107.61 eV for the cell shown


[6]
Below is KHgAsAu2 after structural relaxation, with properties calculated at the GGA-PBE level.

Cell: 5.1062 5.1062 5.5697 Å, 90.00 90.00 90.00°
Space group P4/mmm (No. 123)
Inequivalent atoms, fractional coordinates:
K  0.0000  0.0000  0.0000 [1 per cell]
Hg  0.5000  0.5000  0.0000 [1 per cell]
As  0.5000  0.5000  0.5000 [1 per cell]
Au  0.0000  0.5000  0.5000 [2 per cell]

- Calculated formation energy: -97 meV per atom
- V: 29.04 Å³/atom
- Calculated total energy: -13.09 eV for the cell shown


[7]
Below is Li2Ca6Zn after structural relaxation, with properties calculated at the GGA-PBE level.

Cell: 6.6850 9.0836 11.9081 Å, 90.00 119.80 90.00°
Space group P2_1/c (No. 14)
Inequivalent atoms, fractional coordinates:
Li  0.1451  0.1147  0.2529 [4 per cell]
Ca  0.0633  0.1783  0.9473 [4 per cell]
Ca  0.3298  0.6779  0.9425 [4 per cell]
Ca  0.3947  0.0339  0.7714 [4 per cell]
Zn  0.0000  0.0000  0.5000 [2 per cell]

- Calculated formation energy: 7 meV per atom
- V: 34.86 Å³/atom
- Calculated total energy: -34.09 eV for the cell shown
- Excess energy over the best structure of this formula in the dataset: 0.0466 eV/atom


[8]
Below is In2GeTeH after structural relaxation, with properties calculated at the GGA-PBE level.

Cell: 5.4840 5.4840 3.8208 Å, 90.00 90.00 90.00°
Space group P4/mmm (No. 123)
Inequivalent atoms, fractional coordinates:
In  0.0000  0.5000  0.0000 [2 per cell]
Ge  0.0000  0.0000  0.0000 [1 per cell]
Te  0.5000  0.5000  0.5000 [1 per cell]
H  0.0000  0.0000  0.5000 [1 per cell]

- V: 22.98 Å³/atom
- Calculated total energy: -16.15 eV for the cell shown


[9]
Below is Pr2Dy3Er3 after structural relaxation, with properties calculated at the GGA-PBE level.

Cell: 3.5946 17.4237 16.8669 Å, 90.00 90.00 90.00°
Space group Cmcm (No. 63)
Inequivalent atoms, fractional coordinates:
Pr  0.0000  0.2168  0.1492 [8 per cell]
Dy  0.0000  0.3565  0.0137 [8 per cell]
Dy  0.0000  0.3916  0.2500 [4 per cell]
Er  0.0000  0.0053  0.1006 [8 per cell]
Er  0.0000  0.4219  0.7500 [4 per cell]

- Calculated formation energy: 128 meV per atom
- V: 33.01 Å³/atom
- Calculated total energy: -144.12 eV for the cell shown
- Excess energy over the best structure of this formula in the dataset: 0.0000 eV/atom